[1]
A geometry-optimized La2LuSb structure, computed with PBE.

Summary:
- Formation energy (no corrections): -2.13 eV/f.u.
- Density of states at the Fermi level: 4.671 states/eV per cell
- E: -5.157 eV/atom

Cell and atoms, written as POSCAR:
```
La2LuSb
1.0
-2.9210 2.8572 2.8322
1.5605 -2.3590 3.9892
3.6364 3.2327 0.4892
Sb Lu La
1 1 2
direct
0.5000 0.0000 0.0000
0.5000 0.5000 0.5000
0.0000 0.0000 0.5000
0.0000 0.5000 0.0000
```

[2]
A geometry-optimized PrNd2BrO4 structure, computed with PBE.

Summary:
- Formation energy (no corrections): -24.71 eV/f.u.
- Density of states at the Fermi level: 0.000 states/eV per cell
- E: -7.566 eV/atom

Cell and atoms, written as POSCAR:
```
PrNd2BrO4
1.0
-0.2047 -4.0471 -0.4347
3.4073 -0.4085 2.1985
-5.2007 -0.5908 7.9503
Pr Nd Br O
1 2 1 4
direct
0.0000 0.0000 0.0000
0.5000 0.5000 0.2596
0.5000 0.5000 0.7404
0.0000 0.0000 0.5000
0.0000 0.5000 0.1546
0.5000 0.0000 0.8454
0.5000 0.0000 0.1546
0.0000 0.5000 0.8454
```

[3]
A geometry-optimized RbGa3Hg structure, computed with PBE.

Summary:
- Density of states at the Fermi level: 3.479 states/eV per cell
- Energy of formation: 1.5 eV per formula unit
- E: -1.771 eV/atom
- Polymorph energy (0 for the lowest one): 0 meV per atom

Cell and atoms, written as POSCAR:
```
RbGa3Hg
1.0
-1.2221 5.2935 -0.7122
-1.8254 0.2727 5.1590
5.0196 1.3879 1.7027
Ga Hg Rb
3 1 1
direct
0.0000 0.5000 0.0000
0.0000 0.0000 0.5000
0.5000 0.0000 0.0000
0.0000 0.0000 0.0000
0.5000 0.5000 0.5000
```

[4]
A geometry-optimized YCr2Si structure, computed with PBE.

Summary:
- Formation energy (no corrections): -0.71 eV/f.u.
- Density of states at the Fermi level: 1.890 states/eV per cell
- E: -7.960 eV/atom

Cell and atoms, written as POSCAR:
```
YCr2Si
1.0
4.1311 0.0044 -0.0107
2.0607 3.5804 -0.0107
2.0767 1.2023 4.9409
Cr Si Y
2 1 1
direct
0.0493 0.0493 0.8519
0.7505 0.7505 0.7485
0.4490 0.4490 0.6531
0.2512 0.2512 0.2465
```

no.,V (Å³ per cell),total magnetic moment (μB/cell)
1,118.9,0.0
2,158.1,0.0
3,164.5,0.0
4,73.1,0.6